GGA-PBE Tb2PmSm3, relaxed; D(E_F) = 8.689 states/eV/f.u.; symmetry = No. 65; energy of formation from the pure elements = 0.02 eV/atom; magnetic moment = 0.00 μB/f.u.; ΔE to the lowest computed polymorph = 0.003 eV per atom; calculated total energy = -4.679 eV per atom
1.0
5.101 0.000 0.000
0.000 15.295 0.000
0.000 0.000 5.109
Tb Pm Sm
4 2 6
Direct
0.000 0.167 0.000
0.000 0.833 0.000
0.500 0.333 0.000
0.500 0.667 0.000
0.000 0.500 0.000
0.500 0.000 0.000
0.000 0.000 0.500
0.000 0.333 0.500
0.000 0.667 0.500
0.500 0.167 0.500
0.500 0.500 0.500
0.500 0.833 0.500

GGA-PBE Tb8Pm4Sm3, relaxed; D(E_F) = 29.416 states/eV/f.u.; symmetry = No. 12; energy of formation from the pure elements = 0.36 eV/atom; magnetic moment = 0.00 μB/f.u.; ΔE to the lowest computed polymorph = 0.232 eV per atom; calculated total energy = -4.320 eV per atom
1.0
6.753 -6.431 0.000
6.753 6.431 0.000
-3.436 0.000 5.888
Tb Pm Sm
8 4 3
Direct
0.141 0.859 0.000
0.232 0.232 0.468
0.233 0.233 0.992
0.244 0.756 0.500
0.756 0.244 0.500
0.767 0.767 0.008
0.768 0.768 0.532
0.859 0.141 0.000
0.000 0.500 0.500
0.500 0.000 0.500
0.500 0.500 0.000
0.500 0.500 0.500
0.000 0.000 0.500
0.000 0.500 0.000
0.500 0.000 0.000

GGA-PBE Tb4Pm3Sm5, relaxed; D(E_F) = 19.308 states/eV/f.u.; symmetry = No. 12; energy of formation from the pure elements = 0.22 eV/atom; magnetic moment = 0.00 μB/f.u.; ΔE to the lowest computed polymorph = 0.203 eV per atom; calculated total energy = -4.481 eV per atom
1.0
8.115 -2.990 0.000
8.115 2.990 0.000
-4.126 0.000 8.397
Tb Pm Sm
4 3 5
Direct
0.082 0.082 0.442
0.213 0.213 0.878
0.787 0.787 0.122
0.918 0.918 0.558
0.000 0.000 0.000
0.327 0.327 0.613
0.673 0.673 0.387
0.208 0.208 0.228
0.425 0.425 0.301
0.500 0.500 0.000
0.575 0.575 0.699
0.792 0.792 0.772

GGA-PBE TbPm7Sm4, relaxed; D(E_F) = 15.182 states/eV/f.u.; symmetry = No. 2; energy of formation from the pure elements = 0.01 eV/atom; magnetic moment = 0.00 μB/f.u.; ΔE to the lowest computed polymorph = 0.000 eV per atom; calculated total energy = -4.722 eV per atom
1.0
6.342 0.000 0.000
0.002 7.326 0.000
2.115 0.007 8.802
Tb Pm Sm
1 7 4
Direct
0.000 0.000 0.000
0.000 0.500 0.000
0.222 0.000 0.333
0.278 0.750 0.668
0.500 0.250 0.000
0.500 0.750 0.000
0.722 0.250 0.332
0.778 0.000 0.667
0.222 0.500 0.333
0.278 0.250 0.668
0.722 0.750 0.332
0.778 0.500 0.667

GGA-PBE Tb6Pm3Sm, relaxed; D(E_F) = 13.943 states/eV/f.u.; symmetry = No. 36; energy of formation from the pure elements = 0.15 eV/atom; magnetic moment = 0.00 μB/f.u.; ΔE to the lowest computed polymorph = 0.000 eV per atom; calculated total energy = -4.529 eV per atom
1.0
5.498 -9.507 0.000
5.498 9.507 0.000
0.000 0.000 6.363
Tb Pm Sm
12 6 2
Direct
0.039 0.961 0.500
0.052 0.470 0.999
0.274 0.726 0.722
0.288 0.377 0.824
0.377 0.288 0.324
0.470 0.052 0.499
0.530 0.948 0.999
0.623 0.712 0.824
0.712 0.623 0.324
0.726 0.274 0.222
0.948 0.530 0.499
0.961 0.039 0.000
0.062 0.290 0.410
0.290 0.062 0.910
0.387 0.613 0.299
0.613 0.387 0.799
0.710 0.938 0.410
0.938 0.710 0.910
0.195 0.805 0.243
0.805 0.195 0.743

GGA-PBE TbPm15Sm4, relaxed; D(E_F) = 29.009 states/eV/f.u.; symmetry = No. 123; energy of formation from the pure elements = 0.01 eV/atom; magnetic moment = 0.00 μB/f.u.; calculated total energy = -4.724 eV per atom
1.0
5.153 0.000 0.000
0.000 5.153 0.000
0.000 0.000 25.732
Tb Pm Sm
1 15 4
Direct
0.000 0.000 0.000
0.000 0.500 0.099
0.000 0.500 0.300
0.000 0.500 0.500
0.000 0.500 0.700
0.000 0.500 0.901
0.500 0.000 0.099
0.500 0.000 0.300
0.500 0.000 0.500
0.500 0.000 0.700
0.500 0.000 0.901
0.500 0.500 0.000
0.500 0.500 0.199
0.500 0.500 0.400
0.500 0.500 0.600
0.500 0.500 0.801
0.000 0.000 0.200
0.000 0.000 0.400
0.000 0.000 0.600
0.000 0.000 0.800

Repeat the second record exactly.
GGA-PBE Tb8Pm4Sm3, relaxed; D(E_F) = 29.416 states/eV/f.u.; symmetry = No. 12; energy of formation from the pure elements = 0.36 eV/atom; magnetic moment = 0.00 μB/f.u.; ΔE to the lowest computed polymorph = 0.232 eV per atom; calculated total energy = -4.320 eV per atom
1.0
6.753 -6.431 0.000
6.753 6.431 0.000
-3.436 0.000 5.888
Tb Pm Sm
8 4 3
Direct
0.141 0.859 0.000
0.232 0.232 0.468
0.233 0.233 0.992
0.244 0.756 0.500
0.756 0.244 0.500
0.767 0.767 0.008
0.768 0.768 0.532
0.859 0.141 0.000
0.000 0.500 0.500
0.500 0.000 0.500
0.500 0.500 0.000
0.500 0.500 0.500
0.000 0.000 0.500
0.000 0.500 0.000
0.500 0.000 0.000

Repeat the fourth record exactly.
GGA-PBE TbPm7Sm4, relaxed; D(E_F) = 15.182 states/eV/f.u.; symmetry = No. 2; energy of formation from the pure elements = 0.01 eV/atom; magnetic moment = 0.00 μB/f.u.; ΔE to the lowest computed polymorph = 0.000 eV per atom; calculated total energy = -4.722 eV per atom
1.0
6.342 0.000 0.000
0.002 7.326 0.000
2.115 0.007 8.802
Tb Pm Sm
1 7 4
Direct
0.000 0.000 0.000
0.000 0.500 0.000
0.222 0.000 0.333
0.278 0.750 0.668
0.500 0.250 0.000
0.500 0.750 0.000
0.722 0.250 0.332
0.778 0.000 0.667
0.222 0.500 0.333
0.278 0.250 0.668
0.722 0.750 0.332
0.778 0.500 0.667

Q: What is the formula in the sixth record?
A: TbPm15Sm4